Record 1
Entry from Alexandria: an optimized crystal structure of MnCuS3 (GGA-PBE).

Structure (POSCAR):
```
MnCuS3
1.0
4.511 0.000 0.000
0.000 4.511 0.000
0.000 0.000 4.511
Mn Cu S
1 1 3
Direct
0.000 0.000 0.000
0.500 0.500 0.500
0.000 0.000 0.500
0.000 0.500 0.000
0.500 0.000 0.000
```

Calculated values
DOS(E_F) ... 4.9 states/eV per cell
Calculated density ... 3.9 g cm⁻³
Relative energy among the computed polymorphs ... 637.3 meV/atom
Raw formation energy ... 2.103 eV per formula unit

Record 2
Entry from Alexandria: an optimized crystal structure of Mn2CuS (GGA-PBE).

Structure (POSCAR):
```
Mn2CuS
1.0
6.483 0.000 0.000
0.000 6.483 0.000
0.000 0.000 5.121
Mn Cu S
8 4 4
Direct
0.211 0.250 0.125
0.250 0.711 0.375
0.250 0.789 0.875
0.289 0.250 0.625
0.711 0.750 0.625
0.750 0.211 0.875
0.750 0.289 0.375
0.789 0.750 0.125
0.000 0.000 0.500
0.000 0.500 0.750
0.500 0.000 0.250
0.500 0.500 0.000
0.000 0.000 0.000
0.000 0.500 0.250
0.500 0.000 0.750
0.500 0.500 0.500
```

Calculated values
DOS(E_F) ... 7.9 states/eV per cell
Calculated density ... 6.3 g cm⁻³
Raw formation energy ... 0.905 eV per formula unit

Record 3
Entry from Alexandria: an optimized crystal structure of MnCuS4 (GGA-PBE).

Structure (POSCAR):
```
MnCuS4
1.0
6.360 -3.285 0.000
6.360 3.285 0.000
-2.422 0.000 5.068
Mn Cu S
2 2 8
Direct
0.000 0.500 0.000
0.500 0.000 0.500
0.224 0.776 0.750
0.776 0.224 0.250
0.039 0.356 0.563
0.233 0.636 0.055
0.356 0.039 0.063
0.364 0.767 0.445
0.636 0.233 0.555
0.644 0.961 0.937
0.767 0.364 0.945
0.961 0.644 0.437
```

Calculated values
DOS(E_F) ... 6.5 states/eV per cell
Calculated density ... 3.9 g cm⁻³
Raw formation energy ... -1.008 eV per formula unit

Record 4
Entry from Alexandria: an optimized crystal structure of MnCu2S2 (GGA-PBE).

Structure (POSCAR):
```
MnCu2S2
1.0
0.000 5.477 5.477
5.477 0.000 5.477
5.477 5.477 0.000
Mn Cu S
4 8 8
Direct
0.384 0.384 0.384
0.384 0.384 0.849
0.384 0.849 0.384
0.849 0.384 0.384
0.000 0.000 0.000
0.509 0.509 0.991
0.509 0.991 0.509
0.509 0.991 0.991
0.750 0.750 0.750
0.991 0.509 0.509
0.991 0.509 0.991
0.991 0.991 0.509
0.125 0.125 0.125
0.125 0.125 0.625
0.125 0.625 0.125
0.138 0.621 0.621
0.621 0.138 0.621
0.621 0.621 0.138
0.621 0.621 0.621
0.625 0.125 0.125
```

Calculated values
DOS(E_F) ... 4.1 states/eV per cell
Calculated density ... 5.0 g cm⁻³
Raw formation energy ... -1.021 eV per formula unit

Record 5
Entry from Alexandria: an optimized crystal structure of MnCuS3 (GGA-PBE).

Structure (POSCAR):
```
MnCuS3
1.0
3.406 0.000 0.000
0.000 6.185 0.000
0.000 0.000 11.103
Mn Cu S
2 2 6
Direct
0.000 0.000 0.000
0.000 0.500 0.500
0.500 0.000 0.320
0.500 0.500 0.820
0.000 0.000 0.194
0.000 0.500 0.694
0.500 0.237 0.964
0.500 0.263 0.464
0.500 0.737 0.464
0.500 0.763 0.964
```

Calculated values
DOS(E_F) ... 5.5 states/eV per cell
Calculated density ... 3.0 g cm⁻³
Relative energy among the computed polymorphs ... 0.0 meV/atom
Raw formation energy ... -1.083 eV per formula unit

Record 6
Entry from Alexandria: an optimized crystal structure of MnCu2S3 (GGA-PBE).

Structure (POSCAR):
```
MnCu2S3
1.0
0.000 11.163 5.243
3.721 0.000 5.243
3.721 11.163 0.000
Mn Cu S
4 8 12
Direct
0.328 0.672 0.338
0.588 0.912 0.578
0.672 0.328 0.662
0.912 0.588 0.922
0.000 0.000 0.000
0.077 0.421 0.087
0.163 0.834 0.173
0.250 0.250 0.250
0.421 0.077 0.416
0.502 0.502 0.498
0.752 0.752 0.748
0.834 0.163 0.829
0.038 0.212 0.295
0.130 0.623 0.375
0.212 0.038 0.455
0.289 0.456 0.545
0.377 0.875 0.627
0.456 0.289 0.710
0.540 0.705 0.794
0.623 0.130 0.873
0.705 0.540 0.961
0.795 0.955 0.038
0.875 0.377 0.120
0.955 0.795 0.212
```

Calculated values
DOS(E_F) ... 13.2 states/eV per cell
Calculated density ... 4.2 g cm⁻³
Raw formation energy ... -2.251 eV per formula unit

Record 7
Entry from Alexandria: an optimized crystal structure of Mn4CuS8 (GGA-PBE).

Structure (POSCAR):
```
Mn4CuS8
1.0
0.000 4.626 4.626
4.626 0.000 4.626
4.626 4.626 0.000
Mn Cu S
4 1 8
Direct
0.105 0.105 0.105
0.105 0.105 0.685
0.105 0.685 0.105
0.685 0.105 0.105
0.500 0.500 0.500
0.362 0.362 0.362
0.362 0.362 0.915
0.362 0.915 0.362
0.389 0.870 0.870
0.870 0.389 0.870
0.870 0.870 0.389
0.870 0.870 0.870
0.915 0.362 0.362
```

Calculated values
DOS(E_F) ... 8.2 states/eV per cell
Calculated density ... 4.5 g cm⁻³
Raw formation energy ... -6.395 eV per formula unit

Record 8
Entry from Alexandria: an optimized crystal structure of MnCuSb2S4 (GGA-PBE).

Structure (POSCAR):
```
MnCuSb2S4
1.0
0.000 3.503 7.207
3.484 0.000 7.207
3.484 3.503 0.000
Mn Cu Sb S
1 1 2 4
Direct
0.000 0.000 0.000
0.500 0.500 0.500
0.249 0.249 0.251
0.749 0.749 0.751
0.146 0.664 0.336
0.338 0.854 0.662
0.664 0.146 0.854
0.854 0.338 0.146
```

Calculated values
DOS(E_F) ... 4.4 states/eV per cell
Calculated density ... 4.6 g cm⁻³
Raw formation energy ... -0.737 eV per formula unit

Record 9
Entry from Alexandria: an optimized crystal structure of MnCuSbS4 (GGA-PBE).

Structure (POSCAR):
```
MnCuSbS4
1.0
-3.629 3.672 5.155
3.629 -3.672 5.155
3.629 3.672 -5.155
Mn Cu Sb S
2 2 2 8
Direct
0.500 0.000 0.000
0.500 0.500 0.500
0.117 0.367 0.750
0.883 0.633 0.250
0.000 0.000 0.000
0.500 0.000 0.500
0.268 0.746 0.522
0.269 0.280 0.511
0.269 0.758 0.989
0.276 0.254 0.022
0.724 0.746 0.978
0.731 0.242 0.011
0.731 0.720 0.489
0.732 0.254 0.478
```

Calculated values
DOS(E_F) ... 5.4 states/eV per cell
Calculated density ... 4.5 g cm⁻³
Raw formation energy ... -2.441 eV per formula unit

Record 10
Entry from Alexandria: an optimized crystal structure of Mn2Cu10Sb4S13 (GGA-PBE).

Structure (POSCAR):
```
Mn2Cu10Sb4S13
1.0
-5.175 5.175 5.323
5.175 -5.175 5.323
5.175 5.175 -5.323
Mn Cu Sb S
2 10 4 13
Direct
0.225 0.225 0.000
0.775 0.775 0.000
0.000 0.222 0.222
0.000 0.778 0.778
0.222 0.000 0.222
0.246 0.500 0.746
0.250 0.750 0.500
0.500 0.246 0.746
0.500 0.754 0.254
0.750 0.250 0.500
0.754 0.500 0.254
0.778 0.000 0.778
0.012 0.012 0.546
0.466 0.466 0.454
0.534 0.988 0.000
0.988 0.534 0.000
0.000 0.000 0.000
0.003 0.481 0.252
0.229 0.751 0.748
0.249 0.491 0.000
0.249 0.997 0.478
0.481 0.003 0.252
0.491 0.249 0.000
0.509 0.509 0.759
0.519 0.771 0.522
0.751 0.229 0.748
0.751 0.751 0.241
0.771 0.519 0.522
0.997 0.249 0.478
```

Calculated values
DOS(E_F) ... 3.8 states/eV per cell
Calculated density ... 4.8 g cm⁻³
Raw formation energy ... -7.179 eV per formula unit

Record 11
Entry from Alexandria: an optimized crystal structure of ScMnCuS2 (GGA-PBE).

Structure (POSCAR):
```
ScMnCuS2
1.0
4.496 0.000 0.000
0.000 4.496 0.000
0.000 0.000 4.435
Sc Mn Cu S
1 1 1 2
Direct
0.000 0.000 0.000
0.500 0.500 0.500
0.500 0.500 0.000
0.000 0.500 0.500
0.500 0.000 0.500
```

Calculated values
DOS(E_F) ... 2.8 states/eV per cell
Calculated density ... 4.2 g cm⁻³
Raw formation energy ... -0.934 eV per formula unit

Record 12
Entry from Alexandria: an optimized crystal structure of Sm2MnCuS5 (GGA-PBE).

Structure (POSCAR):
```
Sm2MnCuS5
1.0
1.914 -8.168 0.000
1.914 8.168 0.000
0.000 0.000 11.229
Sm Mn Cu S
4 2 2 10
Direct
0.113 0.887 0.500
0.128 0.872 0.113
0.872 0.128 0.613
0.887 0.113 0.000
0.199 0.801 0.822
0.801 0.199 0.322
0.431 0.569 0.260
0.569 0.431 0.760
0.058 0.942 0.867
0.285 0.715 0.469
0.304 0.696 0.160
0.350 0.650 0.810
0.499 0.501 0.586
0.501 0.499 0.086
0.650 0.350 0.310
0.696 0.304 0.660
0.715 0.285 0.969
0.942 0.058 0.367
```

Calculated values
DOS(E_F) ... 5.5 states/eV per cell
Calculated density ... 5.5 g cm⁻³
Raw formation energy ... -11.773 eV per formula unit

Record 13
Entry from Alexandria: an optimized crystal structure of MnCu2Sn3S8 (GGA-PBE).

Structure (POSCAR):
```
MnCu2Sn3S8
1.0
3.723 2.149 6.014
-3.723 2.149 6.014
0.000 -4.299 6.014
Mn Cu Sn S
1 2 3 8
Direct
0.000 0.000 0.000
0.384 0.384 0.384
0.616 0.616 0.616
0.000 0.000 0.500
0.000 0.500 0.000
0.500 0.000 0.000
0.237 0.759 0.759
0.241 0.241 0.763
0.241 0.763 0.241
0.251 0.251 0.251
0.749 0.749 0.749
0.759 0.237 0.759
0.759 0.759 0.237
0.763 0.241 0.241
```

Calculated values
DOS(E_F) ... 5.1 states/eV per cell
Calculated density ... 4.6 g cm⁻³
Raw formation energy ... -5.615 eV per formula unit

Record 14
Entry from Alexandria: an optimized crystal structure of TaMnCuS4 (GGA-PBE).

Structure (POSCAR):
```
TaMnCuS4
1.0
-3.477 3.623 5.111
3.477 -3.623 5.111
3.477 3.623 -5.111
Ta Mn Cu S
2 2 2 8
Direct
0.500 0.000 0.000
0.500 0.500 0.500
0.000 0.000 0.000
0.500 0.000 0.500
0.129 0.379 0.750
0.871 0.621 0.250
0.256 0.249 0.007
0.257 0.751 0.507
0.258 0.245 0.486
0.258 0.772 0.014
0.742 0.228 0.986
0.742 0.755 0.514
0.743 0.249 0.493
0.744 0.751 0.993
```

Calculated values
DOS(E_F) ... 6.8 states/eV per cell
Calculated density ... 5.5 g cm⁻³
Raw formation energy ... -4.852 eV per formula unit

Record 15
Entry from Alexandria: an optimized crystal structure of Tb2MnCuS5 (GGA-PBE).

Structure (POSCAR):
```
Tb2MnCuS5
1.0
1.889 -8.061 0.000
1.889 8.061 0.000
0.000 0.000 11.137
Tb Mn Cu S
4 2 2 10
Direct
0.112 0.888 0.500
0.128 0.872 0.114
0.872 0.128 0.614
0.888 0.112 0.000
0.198 0.802 0.824
0.802 0.198 0.324
0.431 0.569 0.264
0.569 0.431 0.764
0.056 0.944 0.872
0.284 0.716 0.473
0.304 0.696 0.160
0.351 0.649 0.811
0.499 0.501 0.588
0.501 0.499 0.088
0.649 0.351 0.311
0.696 0.304 0.660
0.716 0.284 0.973
0.944 0.056 0.372
```

Calculated values
DOS(E_F) ... 5.7 states/eV per cell
Calculated density ... 5.8 g cm⁻³
Raw formation energy ... -11.709 eV per formula unit

Record 16
Entry from Alexandria: an optimized crystal structure of Mn2CuTeS (GGA-PBE).

Structure (POSCAR):
```
Mn2CuTeS
1.0
5.063 0.000 0.000
0.000 5.063 0.000
0.000 0.000 4.095
Mn Cu Te S
2 1 1 1
Direct
0.000 0.500 0.000
0.500 0.000 0.000
0.000 0.000 0.000
0.500 0.500 0.500
0.000 0.000 0.500
```

Calculated values
DOS(E_F) ... 3.5 states/eV per cell
Calculated density ... 5.3 g cm⁻³
Raw formation energy ... 2.495 eV per formula unit

Record 17
Entry from Alexandria: an optimized crystal structure of MnCu2TeS (GGA-PBE).

Structure (POSCAR):
```
MnCu2TeS
1.0
4.732 0.000 0.000
0.000 4.732 0.000
0.000 0.000 5.379
Mn Cu Te S
1 2 1 1
Direct
0.000 0.000 0.000
0.000 0.500 0.500
0.500 0.000 0.500
0.000 0.000 0.500
0.500 0.500 0.000
```

Calculated values
DOS(E_F) ... 0.1 states/eV per cell
Calculated density ... 4.7 g cm⁻³
Raw formation energy ... 3.322 eV per formula unit

Record 18
Entry from Alexandria: an optimized crystal structure of TiMnCuS4 (GGA-PBE).

Structure (POSCAR):
```
TiMnCuS4
1.0
-3.493 3.576 4.946
3.493 -3.576 4.946
3.493 3.576 -4.946
Ti Mn Cu S
2 2 2 8
Direct
0.500 0.000 0.000
0.500 0.500 0.500
0.000 0.000 0.000
0.500 0.000 0.500
0.123 0.373 0.750
0.877 0.627 0.250
0.252 0.242 0.010
0.254 0.239 0.485
0.254 0.769 0.015
0.268 0.758 0.510
0.732 0.242 0.490
0.746 0.231 0.985
0.746 0.761 0.515
0.748 0.758 0.990
```

Calculated values
DOS(E_F) ... 7.0 states/eV per cell
Calculated density ... 4.0 g cm⁻³
Raw formation energy ... -5.876 eV per formula unit

Record 19
Entry from Alexandria: an optimized crystal structure of TiMn2CuS (GGA-PBE).

Structure (POSCAR):
```
TiMn2CuS
1.0
4.547 0.000 0.000
0.000 4.547 0.000
0.000 0.000 4.672
Ti Mn Cu S
1 2 1 1
Direct
0.000 0.000 0.000
0.000 0.500 0.500
0.500 0.000 0.500
0.000 0.000 0.500
0.500 0.500 0.000
```

Calculated values
DOS(E_F) ... 3.2 states/eV per cell
Calculated density ... 4.4 g cm⁻³
Raw formation energy ... 3.556 eV per formula unit

Record 20
Entry from Alexandria: an optimized crystal structure of MnTl2Cu2S4 (GGA-PBE).

Structure (POSCAR):
```
MnTl2Cu2S4
1.0
6.996 -1.841 0.000
6.996 1.841 0.000
-2.511 0.000 7.063
Mn Tl Cu S
1 2 2 4
Direct
0.000 0.000 0.000
0.136 0.136 0.562
0.864 0.864 0.438
0.317 0.317 0.019
0.683 0.683 0.981
0.190 0.190 0.172
0.485 0.485 0.203
0.515 0.515 0.797
0.810 0.810 0.828
```

Calculated values
DOS(E_F) ... 3.5 states/eV per cell
Calculated density ... 6.6 g cm⁻³
Raw formation energy ... -3.117 eV per formula unit